A PBEsol-optimized structure of CaBe2Cu. Source: the Alexandria database, functional SCAN.

Values from the calculation:
ΔE to the lowest computed polymorph in meV per atom: 52
Uncorrected energy in eV/f.u.: -32.5
Energy of formation from the pure elements in eV per formula unit: 1.05
DOS(E_F) in states/eV/f.u.: 1.72

Unit cell a=2.877 b=2.877 c=6.675 alpha=90.00 beta=90.00 gamma=90.00
Atoms (fractional coordinates):
Ca1 0.000 0.000 0.000
Be1 0.000 0.000 0.510
Be2 0.500 0.500 0.673
Cu1 0.500 0.500 0.334



A PBEsol-optimized structure of KInPb2. Source: the Alexandria database, functional SCAN.

Values from the calculation:
Uncorrected energy in eV/f.u.: -193.5
Energy of formation from the pure elements in eV per formula unit: -0.25
DOS(E_F) in states/eV/f.u.: 1.22

Unit cell a=10.932 b=10.932 c=10.932 alpha=19.21 beta=19.21 gamma=19.21
Atoms (fractional coordinates):
K1 0.000 0.000 0.000
In1 0.500 0.500 0.500
Pb1 0.241 0.241 0.241
Pb2 0.759 0.759 0.759



A PBEsol-optimized structure of CsNa3In. Source: the Alexandria database, functional SCAN.

Values from the calculation:
ΔE to the lowest computed polymorph in meV per atom: 0
Uncorrected energy in eV/f.u.: -84.1
Energy of formation from the pure elements in eV per formula unit: -0.22
DOS(E_F) in states/eV/f.u.: 3.11

Unit cell a=6.095 b=6.095 c=6.095 alpha=90.00 beta=90.00 gamma=90.00
Atoms (fractional coordinates):
Cs1 0.000 0.000 0.000
Na1 0.000 0.500 0.500
Na2 0.500 0.000 0.500
Na3 0.500 0.500 0.000
In1 0.500 0.500 0.500



A PBEsol-optimized structure of RbAlH4. Source: the Alexandria database, functional SCAN.

Values from the calculation:
Uncorrected energy in eV/f.u.: -44.0
DOS(E_F) in states/eV/f.u.: 0.00

Unit cell a=9.026 b=5.573 c=7.231 alpha=90.00 beta=90.00 gamma=90.00
Atoms (fractional coordinates):
Rb1 0.173 0.250 0.162
Rb2 0.327 0.750 0.662
Rb3 0.673 0.250 0.338
Rb4 0.827 0.750 0.838
Al1 0.075 0.250 0.677
Al2 0.425 0.750 0.177
Al3 0.575 0.250 0.823
Al4 0.925 0.750 0.323
H1 0.082 0.750 0.437
H2 0.084 0.015 0.813
H3 0.084 0.485 0.813
H4 0.220 0.250 0.543
H5 0.280 0.750 0.043
H6 0.416 0.515 0.313
H7 0.416 0.985 0.313
H8 0.418 0.250 0.937
H9 0.582 0.750 0.063
H10 0.584 0.015 0.687
H11 0.584 0.485 0.687
H12 0.720 0.250 0.957
H13 0.780 0.750 0.457
H14 0.916 0.515 0.187
H15 0.916 0.985 0.187
H16 0.918 0.250 0.563



A PBEsol-optimized structure of LaYSc2. Source: the Alexandria database, functional SCAN.

Values from the calculation:
ΔE to the lowest computed polymorph in meV per atom: 28
Uncorrected energy in eV/f.u.: -99.0
Energy of formation from the pure elements in eV per formula unit: 0.39
DOS(E_F) in states/eV/f.u.: 4.74

Unit cell a=5.793 b=5.793 c=5.869 alpha=99.86 beta=99.86 gamma=34.34
Atoms (fractional coordinates):
La1 0.000 0.000 0.000
Y1 0.500 0.500 0.500
Sc1 0.251 0.251 0.751
Sc2 0.749 0.749 0.249



A PBEsol-optimized structure of YTeSN2. Source: the Alexandria database, functional SCAN.

Values from the calculation:
Uncorrected energy in eV/f.u.: -88.7
Formation energy (no corrections) in eV per atom: 0.9249
DOS(E_F) in states/eV/f.u.: 1.59

Unit cell a=4.079 b=4.079 c=4.889 alpha=90.00 beta=90.00 gamma=90.00
Atoms (fractional coordinates):
Y1 0.000 0.000 0.000
Te1 0.500 0.500 0.000
S1 0.500 0.500 0.500
N1 0.000 0.500 0.500
N2 0.500 0.000 0.500



A PBEsol-optimized structure of WSe2. Source: the Alexandria database, functional SCAN.

Values from the calculation:
Uncorrected energy in eV/f.u.: -111.4
Formation energy (no corrections) in eV per atom: -0.5256

Unit cell a=3.270 b=3.270 c=20.469 alpha=90.00 beta=90.00 gamma=120.00
Atoms (fractional coordinates):
W1 0.000 0.000 0.000
W2 0.667 0.333 0.320
W3 0.667 0.333 0.680
Se1 0.000 0.000 0.238
Se2 0.000 0.000 0.402
Se3 0.000 0.000 0.598
Se4 0.000 0.000 0.762
Se5 0.667 0.333 0.082
Se6 0.667 0.333 0.918



A PBEsol-optimized structure of TcRhBr2. Source: the Alexandria database, functional SCAN.

Values from the calculation:
ΔE to the lowest computed polymorph in meV per atom: 181
Uncorrected energy in eV/f.u.: -105.8
Formation energy (no corrections) in eV per atom: 0.4843
DOS(E_F) in states/eV/f.u.: 3.62

Unit cell a=8.485 b=8.485 c=8.485 alpha=159.40 beta=157.02 gamma=31.05
Atoms (fractional coordinates):
Tc1 0.000 0.000 0.000
Rh1 0.598 0.098 0.500
Br1 0.201 0.701 0.500
Br2 0.409 0.409 0.000



A PBEsol-optimized structure of AlAg3. Source: the Alexandria database, functional SCAN.

Values from the calculation:
Uncorrected energy in eV/f.u.: -102.2
Energy of formation from the pure elements in eV per formula unit: -0.32
DOS(E_F) in states/eV/f.u.: 1.15

Unit cell a=4.938 b=5.641 c=4.995 alpha=90.00 beta=111.26 gamma=90.00
Atoms (fractional coordinates):
Al1 0.000 0.141 0.250
Al2 0.000 0.859 0.750
Ag1 0.000 0.360 0.750
Ag2 0.000 0.640 0.250
Ag3 0.500 0.115 0.750
Ag4 0.500 0.378 0.250
Ag5 0.500 0.622 0.750
Ag6 0.500 0.885 0.250



A PBEsol-optimized structure of Hf2NbTl. Source: the Alexandria database, functional SCAN.

Values from the calculation:
Uncorrected energy in eV/f.u.: -231.3
Energy of formation from the pure elements in eV per formula unit: -0.45
DOS(E_F) in states/eV/f.u.: 3.53

Unit cell a=3.504 b=3.504 c=6.665 alpha=90.00 beta=90.00 gamma=90.00
Atoms (fractional coordinates):
Hf1 0.000 0.000 0.229
Hf2 0.000 0.000 0.771
Nb1 0.500 0.500 0.000
Tl1 0.500 0.500 0.500



A PBEsol-optimized structure of Mg2ScZn. Source: the Alexandria database, functional SCAN.

Values from the calculation:
Uncorrected energy in eV/f.u.: -38.4
Energy of formation from the pure elements in eV per formula unit: -0.74
DOS(E_F) in states/eV/f.u.: 2.52

Unit cell a=3.154 b=3.154 c=8.079 alpha=90.00 beta=90.00 gamma=90.00
Atoms (fractional coordinates):
Mg1 0.000 0.000 0.000
Mg2 0.500 0.500 0.280
Sc1 0.000 0.000 0.570
Zn1 0.500 0.500 0.786



A PBEsol-optimized structure of Na2FePt. Source: the Alexandria database, functional SCAN.

Values from the calculation:
Uncorrected energy in eV/f.u.: -94.9
Energy of formation from the pure elements in eV per formula unit: 1.82
DOS(E_F) in states/eV/f.u.: 1.85

Unit cell a=4.627 b=4.627 c=4.627 alpha=60.00 beta=60.00 gamma=60.00
Atoms (fractional coordinates):
Na1 0.250 0.250 0.250
Na2 0.750 0.750 0.750
Fe1 0.000 0.000 0.000
Pt1 0.500 0.500 0.500



A PBEsol-optimized structure of YSc2Ta. Source: the Alexandria database, functional SCAN.

Values from the calculation:
ΔE to the lowest computed polymorph in meV per atom: 19
Uncorrected energy in eV/f.u.: -121.8
Energy of formation from the pure elements in eV per formula unit: 1.13
DOS(E_F) in states/eV/f.u.: 4.10

Unit cell a=5.440 b=5.440 c=5.440 alpha=130.96 beta=130.96 gamma=71.88
Atoms (fractional coordinates):
Y1 0.000 0.000 0.000
Sc1 0.250 0.750 0.500
Sc2 0.750 0.250 0.500
Ta1 0.500 0.500 0.000



A PBEsol-optimized structure of LiHgIr2. Source: the Alexandria database, functional SCAN.

Values from the calculation:
Uncorrected energy in eV/f.u.: -212.3
Energy of formation from the pure elements in eV per formula unit: 0.44
DOS(E_F) in states/eV/f.u.: 3.36

Unit cell a=5.428 b=5.428 c=2.742 alpha=104.08 beta=104.08 gamma=120.70
Atoms (fractional coordinates):
Li1 0.000 0.000 0.000
Hg1 0.500 0.500 0.000
Ir1 0.000 0.500 0.500
Ir2 0.500 0.000 0.500



A PBEsol-optimized structure of Ca2AgSe. Source: the Alexandria database, functional SCAN.

Values from the calculation:
ΔE to the lowest computed polymorph in meV per atom: 78
Uncorrected energy in eV/f.u.: -74.9
Formation energy (no corrections) in eV per atom: -1.0408
DOS(E_F) in states/eV/f.u.: 1.37

Unit cell a=7.689 b=7.689 c=7.689 alpha=151.62 beta=150.24 gamma=41.59
Atoms (fractional coordinates):
Ca1 0.000 0.000 0.000
Ca2 0.739 0.239 0.500
Ag1 0.335 0.835 0.500
Se1 0.579 0.579 0.000



A PBEsol-optimized structure of ReGeAu3. Source: the Alexandria database, functional SCAN.

Values from the calculation:
Uncorrected energy in eV/f.u.: -291.0
Energy of formation from the pure elements in eV per formula unit: 6.62
DOS(E_F) in states/eV/f.u.: 5.45

Unit cell a=4.935 b=4.935 c=4.935 alpha=90.00 beta=90.00 gamma=90.00
Atoms (fractional coordinates):
Re1 0.000 0.000 0.000
Ge1 0.500 0.500 0.500
Au1 0.000 0.000 0.500
Au2 0.000 0.500 0.000
Au3 0.500 0.000 0.000



A PBEsol-optimized structure of Tl2SbPb. Source: the Alexandria database, functional SCAN.

Values from the calculation:
ΔE to the lowest computed polymorph in meV per atom: 48
Uncorrected energy in eV/f.u.: -257.5
Formation energy (no corrections) in eV per atom: 0.0533
DOS(E_F) in states/eV/f.u.: 2.47

Unit cell a=3.326 b=3.326 c=10.284 alpha=90.00 beta=90.00 gamma=90.00
Atoms (fractional coordinates):
Tl1 0.000 0.000 0.243
Tl2 0.000 0.000 0.757
Sb1 0.500 0.500 0.000
Pb1 0.500 0.500 0.500



A PBEsol-optimized structure of Na3Cu2Mo3O12. Source: the Alexandria database, functional SCAN.

Values from the calculation:
Uncorrected energy in eV/f.u.: -260.9
Formation energy (no corrections) in eV per atom: -1.9222
DOS(E_F) in states/eV/f.u.: 2.91

Unit cell a=9.136 b=9.136 c=6.926 alpha=103.91 beta=103.91 gamma=97.60
Atoms (fractional coordinates):
Na1 0.000 0.000 0.000
Na2 0.000 0.000 0.500
Na3 0.229 0.771 0.750
Na4 0.470 0.530 0.250
Na5 0.530 0.470 0.750
Na6 0.771 0.229 0.250
Cu1 0.131 0.450 0.884
Cu2 0.450 0.131 0.384
Cu3 0.550 0.869 0.616
Cu4 0.869 0.550 0.116
Mo1 0.165 0.380 0.385
Mo2 0.219 0.781 0.250
Mo3 0.380 0.165 0.885
Mo4 0.620 0.835 0.115
Mo5 0.781 0.219 0.750
Mo6 0.835 0.620 0.615
O1 0.023 0.747 0.248
O2 0.041 0.200 0.315
O3 0.119 0.462 0.174
O4 0.150 0.496 0.623
O5 0.200 0.041 0.815
O6 0.253 0.977 0.252
O7 0.254 0.666 0.024
O8 0.334 0.746 0.476
O9 0.353 0.357 0.920
O10 0.357 0.353 0.420
O11 0.462 0.119 0.674
O12 0.496 0.150 0.123
O13 0.504 0.850 0.877
O14 0.538 0.881 0.326
O15 0.643 0.647 0.580
O16 0.647 0.643 0.080
O17 0.666 0.254 0.524
O18 0.746 0.334 0.976
O19 0.747 0.023 0.748
O20 0.800 0.959 0.185
O21 0.850 0.504 0.377
O22 0.881 0.538 0.826
O23 0.959 0.800 0.685
O24 0.977 0.253 0.752



A PBEsol-optimized structure of FeNiRu. Source: the Alexandria database, functional SCAN.

Values from the calculation:
ΔE to the lowest computed polymorph in meV per atom: 0
Uncorrected energy in eV/f.u.: -67.6
Energy of formation from the pure elements in eV per formula unit: 1.50
DOS(E_F) in states/eV/f.u.: 1.92

Unit cell a=3.809 b=3.809 c=3.809 alpha=60.00 beta=60.00 gamma=60.00
Atoms (fractional coordinates):
Fe1 0.000 0.000 0.000
Ni1 0.250 0.250 0.250
Ru1 0.750 0.750 0.750



A PBEsol-optimized structure of MgPb2Br. Source: the Alexandria database, functional SCAN.

Values from the calculation:
ΔE to the lowest computed polymorph in meV per atom: 186
Uncorrected energy in eV/f.u.: -176.8
Formation energy (no corrections) in eV per atom: -0.2126
DOS(E_F) in states/eV/f.u.: 1.35

Unit cell a=5.594 b=5.594 c=3.415 alpha=90.00 beta=90.00 gamma=90.00
Atoms (fractional coordinates):
Mg1 0.000 0.000 0.000
Pb1 0.000 0.500 0.500
Pb2 0.500 0.000 0.500
Br1 0.500 0.500 0.000



Number 1: ρ 3.7 g cm⁻³. Number 2: ρ 7.6 g cm⁻³. Number 3: ρ 2.3 g cm⁻³. Number 4: ρ 2.1 g cm⁻³. Number 5: ρ 4.8 g cm⁻³. Number 6: ρ 5.6 g cm⁻³. Number 7: ρ 9.0 g cm⁻³. Number 8: ρ 7.1 g cm⁻³. Number 9: ρ 9.0 g cm⁻³. Number 10: ρ 13.3 g cm⁻³. Number 11: ρ 3.3 g cm⁻³. Number 12: ρ 7.0 g cm⁻³. Number 13: ρ 6.7 g cm⁻³. Number 14: ρ 16.3 g cm⁻³. Number 15: ρ 4.1 g cm⁻³. Number 16: ρ 11.7 g cm⁻³. Number 17: ρ 10.8 g cm⁻³. Number 18: ρ 4.2 g cm⁻³. Number 19: ρ 9.2 g cm⁻³. Number 20: ρ 8.1 g cm⁻³.